1 | The following is a DFT calculation (PBE-GGA) of crystalline Hf4NiN2 at its relaxed geometry.

abc: 5.6681 5.6681 11.5042
angles: 90.00 90.00 146.49
Closest atoms and distances in Å follow each position.
Fractional positions:
1 Hf 0.0000 0.0000 0.0000  4 N 2.29
2 Hf 0.0000 0.0000 0.5000  4 N 2.29
3 Hf 0.2671 0.7329 0.6113  3 N 2.25-2.26
4 Hf 0.2671 0.7329 0.8887  3 N 2.25-2.26
5 Hf 0.4319 0.5681 0.2500  2 N 2.30, 2 Ni 2.56
6 Hf 0.5681 0.4319 0.7500  2 N 2.30, 2 Ni 2.56
7 Hf 0.7329 0.2671 0.1113  3 N 2.25-2.26
8 Hf 0.7329 0.2671 0.3887  3 N 2.25-2.26
9 Ni 0.1135 0.8865 0.2500  6 Hf 2.56-2.63
10 Ni 0.8865 0.1135 0.7500  6 Hf 2.56-2.63
11 N 0.3660 0.6340 0.0603  6 Hf 2.25-2.30
12 N 0.3660 0.6340 0.4397  6 Hf 2.25-2.30
13 N 0.6340 0.3660 0.5603  6 Hf 2.25-2.30
14 N 0.6340 0.3660 0.9397  6 Hf 2.25-2.30

Properties
space-group type: No. 63
DOS at the Fermi energy: 3.7 states/eV/f.u.

---

2 | The following is a DFT calculation (PBE-GGA) of crystalline Hf4NiN2 at its relaxed geometry.

abc: 6.5155 6.5155 6.5155
angles: 109.41 109.41 109.59
Closest atoms and distances in Å follow each position.
Fractional positions:
1 Hf 0.2167 0.2753 0.5586  3 N 2.17-2.38, 1 Ni 2.42
2 Hf 0.2167 0.6581 0.9414  3 N 2.17-2.38, 1 Ni 2.42
3 Hf 0.2753 0.2167 0.0586  3 N 2.17-2.38, 1 Ni 2.42
4 Hf 0.3419 0.7833 0.5586  3 N 2.17-2.38, 1 Ni 2.42
5 Hf 0.6581 0.2167 0.4414  3 N 2.17-2.38, 1 Ni 2.42
6 Hf 0.7247 0.7833 0.9414  3 N 2.17-2.38, 1 Ni 2.42
7 Hf 0.7833 0.3419 0.0586  3 N 2.17-2.38, 1 Ni 2.42
8 Hf 0.7833 0.7247 0.4414  3 N 2.17-2.38, 1 Ni 2.42
9 Ni 0.1250 0.8750 0.2500  4 Hf 2.42
10 Ni 0.8750 0.1250 0.7500  4 Hf 2.42
11 N 0.0000 0.5000 0.5000  6 Hf 2.17-2.38
12 N 0.5000 0.0000 0.0000  6 Hf 2.17-2.38
13 N 0.5000 0.5000 0.0000  6 Hf 2.17-2.38
14 N 0.5000 0.5000 0.5000  6 Hf 2.17-2.38

Properties
space-group type: No. 141
DOS at the Fermi energy: 4.4 states/eV/f.u.

---

Which is the most stable structure? 1 is the most stable.

---

1 | The following is a DFT calculation (PBE-GGA) of crystalline Hf2Ni2N at its relaxed geometry.

abc: 4.6330 4.6330 4.6330
angles: 114.20 114.20 100.37
Closest atoms and distances in Å follow each position.
Fractional positions:
1 Hf 0.2500 0.7500 0.5000  4 Ni 2.54
2 Hf 0.7500 0.2500 0.5000  4 Ni 2.54
3 Ni 0.1893 0.1893 0.0000  1 N 1.84
4 Ni 0.8107 0.8107 0.0000  1 N 1.84
5 N 0.5000 0.5000 0.0000  2 Ni 1.84

Properties
space-group type: No. 139
DOS at the Fermi energy: 4.0 states/eV/f.u.

---

2 | The following is a DFT calculation (PBE-GGA) of crystalline Hf2Ni2N at its relaxed geometry.

abc: 6.5328 6.5328 3.3940
angles: 90.00 90.00 90.00
Closest atoms and distances in Å follow each position.
Fractional positions:
1 Hf 0.1757 0.3243 0.0000  6 Ni 2.49-2.63
2 Hf 0.3243 0.8243 0.0000  6 Ni 2.49-2.63
3 Hf 0.6757 0.1757 0.0000  6 Ni 2.49-2.63
4 Hf 0.8243 0.6757 0.0000  6 Ni 2.49-2.63
5 Ni 0.1272 0.6272 0.5000  1 Ni 2.35, 6 Hf 2.49-2.63, 2 N 2.57
6 Ni 0.3728 0.1272 0.5000  1 Ni 2.35, 6 Hf 2.49-2.63, 2 N 2.57
7 Ni 0.6272 0.8728 0.5000  1 Ni 2.35, 6 Hf 2.49-2.63, 2 N 2.57
8 Ni 0.8728 0.3728 0.5000  1 Ni 2.35, 6 Hf 2.49-2.63, 2 N 2.57
9 N 0.0000 0.0000 0.5000  4 Ni 2.57
10 N 0.5000 0.5000 0.5000  4 Ni 2.57

Properties
space-group type: No. 127
DOS at the Fermi energy: 3.0 states/eV/f.u.

---

Which is the most stable structure? 2 is the most stable.